No. 1
# GGA-PBE K2Sr2C, optimized geometry
data_K2Sr2C
_space_group_name_H-M_alt 'I 4/m m m'
_space_group_IT_number 139
_space_group_name_Hall '-I 4 2'
_cell_length_a 4.2161
_cell_length_b 4.2161
_cell_length_c 22.1493
_cell_angle_alpha 90.00
_cell_angle_beta 90.00
_cell_angle_gamma 90.00
loop_
_atom_site_label
_atom_site_type_symbol
_atom_site_fract_x
_atom_site_fract_y
_atom_site_fract_z
K1 K 0.0000 0.5000 0.2500
Sr1 Sr 0.0000 0.0000 0.0719
C1 C 0.0000 0.0000 0.5000
# DFT total energy in eV per atom: -1.745
# Polymorph energy (0 for the lowest one) in meV/atom: 530

No. 2
# GGA-PBE K2Sr2C, optimized geometry
data_K2Sr2C
_space_group_name_H-M_alt 'P 4/m b m'
_space_group_IT_number 127
_space_group_name_Hall '-P 4 2ab'
_cell_length_a 7.6092
_cell_length_b 7.6092
_cell_length_c 7.7453
_cell_angle_alpha 90.00
_cell_angle_beta 90.00
_cell_angle_gamma 90.00
loop_
_atom_site_label
_atom_site_type_symbol
_atom_site_fract_x
_atom_site_fract_y
_atom_site_fract_z
K1 K 0.1863 0.3137 0.0000
Sr1 Sr 0.2047 0.7047 0.5000
C1 C 0.0000 0.0000 0.5000
# DFT total energy in eV per atom: -2.275
# Polymorph energy (0 for the lowest one) in meV/atom: 0